Li2Mn3F8 after structural relaxation, computed with PBE with a Hubbard U.

a = 9.6722 Å, b = 9.6722 Å, c = 5.6429 Å
α = 93.69°, β = 93.69°, γ = 36.32°
Last column: nearest neighbours and their distance in Å.
Atoms (fractional coordinates):
Li (0.0338, 0.7416, 0.7365)  3 F 1.89-2.03
Li (0.2584, 0.9662, 0.7635)  3 F 1.89-2.03
Li (0.7416, 0.0338, 0.2365)  3 F 1.89-2.03
Li (0.9662, 0.2584, 0.2635)  3 F 1.89-2.03
Mn (0.0943, 0.5073, 0.2635)  4 F 2.06-2.21
Mn (0.3646, 0.6354, 0.2500)  6 F 2.11-2.18
Mn (0.4927, 0.9057, 0.2365)  4 F 2.06-2.21
Mn (0.5073, 0.0943, 0.7635)  4 F 2.06-2.21
Mn (0.6354, 0.3646, 0.7500)  6 F 2.11-2.18
Mn (0.9057, 0.4927, 0.7365)  4 F 2.06-2.21
F (0.0722, 0.7504, 0.3573)  2 Li 2.01-2.21, 2 Mn 2.16-2.21
F (0.1078, 0.2856, 0.0284)  1 Mn 2.06, 1 Li 2.14
F (0.1837, 0.4378, 0.6286)  1 Li 2.03, 2 Mn 2.11-2.16
F (0.2496, 0.9278, 0.1427)  2 Li 2.01-2.21, 2 Mn 2.16-2.21
F (0.2856, 0.1078, 0.5284)  1 Mn 2.06, 1 Li 2.14
F (0.3053, 0.5828, 0.9102)  1 Li 1.89, 1 Mn 2.11
F (0.4172, 0.6947, 0.5898)  1 Li 1.89, 1 Mn 2.11
F (0.4378, 0.1837, 0.1286)  1 Li 2.03, 2 Mn 2.11-2.16
F (0.5622, 0.8163, 0.8714)  1 Li 2.03, 2 Mn 2.11-2.16
F (0.5828, 0.3053, 0.4102)  1 Li 1.89, 1 Mn 2.11
F (0.6947, 0.4172, 0.0898)  1 Li 1.89, 1 Mn 2.11
F (0.7144, 0.8922, 0.4716)  1 Mn 2.06, 1 Li 2.14
F (0.7504, 0.0722, 0.8573)  2 Li 2.01-2.21, 2 Mn 2.16-2.21
F (0.8163, 0.5622, 0.3714)  1 Li 2.03, 2 Mn 2.11-2.16
F (0.8922, 0.7144, 0.9716)  1 Mn 2.06, 1 Li 2.14
F (0.9278, 0.2496, 0.6427)  2 Li 2.01-2.21, 2 Mn 2.16-2.21

* excess energy over the best structure of this formula in the dataset: 57 meV per atom